## Ba2Na2Bi4Pd (PBE)

Data for a geometry-optimized Ba2Na2Bi4Pd structure.

Summary:
**Calculated volume**: 293.8 Å³/f.u.
**Energy**: -32.1 eV for the cell shown
**Space-group type**: I4/mmm (139)
**ΔH_f (0 K)**: -0.5500 eV/atom

a = 7.4301 Å, b = 7.4301 Å, c = 7.4301 Å
α = 91.52°, β = 119.12°, γ = 119.12°
Element x y z (fractional)
Ba: 0.5000 0.7500 0.2500
Ba: 0.5000 0.2500 0.7500
Na: 0.0000 0.7208 0.7208
Na: 0.0000 0.2792 0.2792
Bi: 0.0000 0.7381 0.2619
Bi: 0.4761 0.7381 0.7381
Bi: 0.0000 0.2619 0.7381
Bi: 0.5239 0.2619 0.2619
Pd: 0.0000 0.0000 0.0000